VASP calculation (GGA-PBE) on an optimized crystal structure of Cs2U3IrO12.

The calculated volume is 333.07 Å³/f.u. Its uncorrected energy is -8.325 eV/atom.

The structure belongs to space group R-3m (No. 166, hexagonal axes); the cell edges are 7.9372, 7.9372 and 18.3142 Å and the angles 90.00°, 90.00° and 120.00°. The inequivalent atoms are Cs at (0.0000, 0.0000, 0.1277), U at (0.0000, 0.5000, 0.0000), Ir at (0.0000, 0.0000, 0.5000), O at (0.0797, 0.5399, 0.3602) and O at (0.0961, 0.5480, 0.1047).